(1)
# ZrPt

A relaxed ZrPt crystal (PBE-GGA, OQMD via LeMat-Bulk).

* DFT formation energy: -0.570 eV/atom
* volume: 18.3 A^3/atom

Cell lengths 4.858, 5.888, 5.132 Å; angles 90.00, 90.00, 90.00 degrees
Fractional positions:
Zr (0.000, 0.000, 0.000)
Zr (0.000, 0.271, 0.470)
Zr (0.000, 0.729, 0.470)
Zr (0.500, 0.000, 0.611)
Pt (0.000, 0.500, 0.962)
Pt (0.500, 0.255, 0.128)
Pt (0.500, 0.500, 0.654)
Pt (0.500, 0.745, 0.128)

(2)
# TbNp

A relaxed TbNp crystal (PBE-GGA, OQMD via LeMat-Bulk).

* DFT formation energy: 0.478 eV/atom
* volume: 27.8 A^3/atom
* offset from the most stable computed form: 0 meV per atom

Cell lengths 3.340, 3.340, 5.758 Å; angles 90.00, 90.00, 120.00 degrees
Fractional positions:
Tb (0.000, 0.000, 0.000)
Np (0.333, 0.667, 0.500)